Entry 1:
## LaTbNd2Dy (GGA-PBE)

Data for a relaxed LaTbNd2Dy crystal.

Cell: 6.584 8.571 6.325 Å, 97.09 90.00 90.00°
Atoms (fractional coordinates):
Nd  0.687  0.312  0.709
Nd  0.687  0.688  0.791
Tb  0.562  0.000  0.250
Dy  0.164  0.500  0.750
Dy  0.836  0.500  0.250
La  0.000  0.000  0.500
La  0.000  0.000  0.000
Nd  0.313  0.688  0.291
Nd  0.313  0.312  0.209
Tb  0.438  0.000  0.750

Results
For the total energy, the calculation gives -0.164 hartree per atom. The space group is P2/c.

=====

Entry 2:
## CrPdN2 (GGA-PBE)

Data for a relaxed CrPdN2 crystal.

Cell: 4.617 4.617 5.471 Å, 65.04 65.04 90.00°
Atoms (fractional coordinates):
N  0.557  0.125  0.250
Pd  0.000  0.000  0.000
N  0.875  0.807  0.750
N  0.375  0.443  0.750
N  0.193  0.625  0.250
Pd  0.750  0.250  0.500
Cr  0.500  0.500  0.000
Cr  0.250  0.750  0.500

Results
Its uncorrected formation energy is 0.01 eV/atom. The space group is I-42d.

=====

Entry 3:
## PrTlAs2O8 (GGA-PBE)

Data for a relaxed PrTlAs2O8 crystal.

Cell: 6.133 6.133 6.133 Å, 105.93 105.93 116.81°
Atoms (fractional coordinates):
O  0.748  0.073  0.676
As  0.750  0.250  0.500
O  0.927  0.252  0.324
Tl  0.250  0.750  0.500
O  0.496  0.674  0.822
O  0.326  0.148  0.822
As  0.500  0.500  0.000
O  0.852  0.674  0.178
Pr  0.000  0.000  0.000
O  0.326  0.504  0.178
O  0.927  0.603  0.676
O  0.397  0.073  0.324

Results
Its uncorrected formation energy is -1.62 eV/atom. The space group is I-4m2.

=====

Entry 4:
## MgTa3 (GGA-PBE)

Data for a relaxed MgTa3 crystal.

Cell: 5.285 5.285 5.285 Å, 90.00 90.00 90.00°
Atoms (fractional coordinates):
Ta  0.000  0.250  0.500
Ta  0.750  0.500  0.000
Ta  0.000  0.750  0.500
Mg  0.000  0.000  0.000
Ta  0.250  0.500  0.000
Mg  0.500  0.500  0.500
Ta  0.500  0.000  0.250
Ta  0.500  0.000  0.750

Results
For the total energy, the calculation gives -0.329 hartree per atom. The space group is Pm-3n.

=====

Entry 5:
## TmU2Cr2C4 (GGA-PBE)

Data for a relaxed TmU2Cr2C4 crystal.

Cell: 3.200 6.672 5.901 Å, 106.77 90.00 103.88°
Last column: magnetic moment on the atom in μB.
Atoms (fractional coordinates):
U  0.128  0.255  0.536  1.30
U  0.872  0.745  0.464  1.30
Tm  0.000  0.000  0.000  0.03
Cr  0.316  0.632  0.991  -0.12
C  0.547  0.094  0.741  -0.05
Cr  0.684  0.368  0.009  -0.12
C  0.453  0.906  0.259  -0.05
C  0.228  0.457  0.229  -0.03
C  0.772  0.543  0.771  -0.03

Results
For the total energy, the calculation gives -0.341 hartree per atom. The space group is C2/m.

=====

Entry 6:
## Be2GeBi (GGA-PBE)

Data for a relaxed Be2GeBi crystal.

Cell: 4.635 4.635 4.635 Å, 60.00 60.00 60.00°
Atoms (fractional coordinates):
Be  0.750  0.750  0.750
Ge  0.000  0.000  0.000
Be  0.250  0.250  0.250
Bi  0.500  0.500  0.500

Results
For the total energy, the calculation gives -0.118 hartree per atom. The space group is Fm-3m.

=====

Entry 7:
## NaCu2H2 (GGA-PBE)

Data for a relaxed NaCu2H2 crystal.

Cell: 7.110 7.110 2.528 Å, 90.00 90.00 90.00°
Atoms (fractional coordinates):
Cu  0.622  0.122  0.000
Cu  0.378  0.878  0.000
Na  0.000  0.000  0.000
H  0.773  0.727  0.500
H  0.727  0.227  0.500
Cu  0.122  0.378  0.000
H  0.227  0.273  0.500
Na  0.500  0.500  0.000
H  0.273  0.773  0.500
Cu  0.878  0.622  0.000

Results
For the total energy, the calculation gives -0.109 hartree per atom. The space group is P4/mbm.